Version w
A plane-wave DFT calculation with PBE was carried out for a relaxed structure of YTmGaRh.

Cell lengths 4.9351, 4.9351, 4.9351 Å; angles 60.00, 60.00, 60.00 degrees
Last column: nearest neighbours and their distance in Å.
Sites, in units of the cell vectors:
Y 0.0000 0.0000 0.0000  4 Rh 3.02, 4 Ga 3.02
Tm 0.5000 0.5000 0.5000  4 Rh 3.02, 4 Ga 3.02
Ga 0.2500 0.2500 0.2500  4 Tm 3.02, 4 Y 3.02
Rh 0.7500 0.7500 0.7500  4 Tm 3.02, 4 Y 3.02

- D(E_F) (states/eV per cell) = 1.9
- density (g/cm3) = 8.41
- space-group type = No. 216
- magnetization (μB/atom) = 0.0000

***

Version x
A plane-wave DFT calculation with PBE was carried out for a relaxed structure of YTmGaRh.

Cell lengths 4.2871, 5.6686, 5.6686 Å; angles 40.07, 90.00, 90.00 degrees
Last column: nearest neighbours and their distance in Å.
Sites, in units of the cell vectors:
Y 0.0000 0.0000 0.0000  3 Rh 2.98-3.05, 4 Ga 3.00
Tm 0.5000 0.2836 0.2836  3 Ga 2.97-3.08, 4 Rh 2.97
Ga 0.5000 0.5730 0.5730  2 Rh 2.66, 2 Tm 2.97
Rh 0.0000 0.7206 0.7206  2 Ga 2.66, 4 Tm 2.97, 1 Y 2.98

- D(E_F) (states/eV per cell) = 2.8
- density (g/cm3) = 8.06
- space-group type = No. 38
- magnetization (μB/atom) = 0.0000

***

Which of them is most stable, and which least? Most stable: version x; least stable: version w.

***

Version w
A plane-wave DFT calculation with PBE was carried out for a relaxed structure of UGaRh6.

Cell lengths 5.5622, 5.5622, 3.9500 Å; angles 90.00, 90.00, 90.00 degrees
Last column: nearest neighbours and their distance in Å.
Sites, in units of the cell vectors:
U 0.0000 0.0000 0.0000  12 Rh 2.78-2.80
Ga 0.5000 0.5000 0.0000  12 Rh 2.78
Rh 0.0000 0.5000 0.0000  2 Ga 2.78, 2 U 2.78, 8 Rh 2.79
Rh 0.2520 0.2520 0.5000  8 Rh 2.76-2.80, 2 Ga 2.78, 2 U 2.80
Rh 0.2520 0.7480 0.5000  8 Rh 2.76-2.80, 2 Ga 2.78, 2 U 2.80
Rh 0.5000 0.0000 0.0000  2 Ga 2.78, 2 U 2.78, 8 Rh 2.79
Rh 0.7480 0.2520 0.5000  8 Rh 2.76-2.80, 2 Ga 2.78, 2 U 2.80
Rh 0.7480 0.7480 0.5000  8 Rh 2.76-2.80, 2 Ga 2.78, 2 U 2.80

- D(E_F) (states/eV per cell) = 6.0
- density (g/cm3) = 12.57
- space-group type = No. 123
- magnetization (μB/atom) = 0.0000

***

Version x
A plane-wave DFT calculation with PBE was carried out for a relaxed structure of UGaRh6.

Cell lengths 4.6469, 5.1914, 5.4064 Å; angles 79.68, 89.18, 88.89 degrees
Last column: nearest neighbours and their distance in Å.
Sites, in units of the cell vectors:
U 0.0000 0.0000 0.0000  6 Rh 2.46-2.74
Ga 0.5000 0.5000 0.5000  8 Rh 2.55-2.76
Rh 0.0244 0.2572 0.4411  2 Ga 2.62-2.76, 5 Rh 2.65-2.93
Rh 0.2534 0.4199 0.9303  1 U 2.46, 1 Ga 2.55, 3 Rh 2.62-2.70
Rh 0.4886 0.9944 0.2592  5 Rh 2.62-2.79, 1 Ga 2.66, 2 U 2.68-2.74
Rh 0.5114 0.0056 0.7408  5 Rh 2.62-2.79, 1 Ga 2.66, 2 U 2.68-2.74
Rh 0.7466 0.5801 0.0697  1 U 2.46, 1 Ga 2.55, 3 Rh 2.62-2.70
Rh 0.9756 0.7428 0.5589  2 Ga 2.62-2.76, 5 Rh 2.65-2.93

- D(E_F) (states/eV per cell) = 8.7
- density (g/cm3) = 11.98
- space-group type = No. 2
- magnetization (μB/atom) = 0.0000

***

Which of them is most stable, and which least? Most stable: version w; least stable: version x.

***

Version w
A plane-wave DFT calculation with PBE was carried out for a relaxed structure of UGa3Rh.

Cell lengths 7.6641, 3.0174, 7.6700 Å; angles 90.00, 102.93, 90.00 degrees
Last column: nearest neighbours and their distance in Å.
Sites, in units of the cell vectors:
U 0.0210 0.2500 0.1495  4 U 2.70-3.02, 1 Ga 3.01
U 0.9790 0.7500 0.8505  4 U 2.70-3.02, 1 Ga 3.01
Ga 0.1508 0.2500 0.5726  2 Rh 2.57, 2 Ga 2.78
Ga 0.3390 0.2500 0.9795  3 Rh 2.59-2.60, 2 Ga 2.85
Ga 0.3547 0.7500 0.3643  3 Rh 2.57-2.73
Ga 0.6453 0.2500 0.6357  3 Rh 2.57-2.73
Ga 0.6610 0.7500 0.0205  3 Rh 2.59-2.60, 2 Ga 2.85
Ga 0.8492 0.7500 0.4274  2 Rh 2.57, 2 Ga 2.78
Rh 0.4099 0.7500 0.7289  8 Ga 2.57-2.73
Rh 0.5901 0.2500 0.2711  8 Ga 2.57-2.73

- D(E_F) (states/eV per cell) = 11.0
- density (g/cm3) = 10.57
- space-group type = No. 11
- magnetization (μB/atom) = 0.1915

***

Version x
A plane-wave DFT calculation with PBE was carried out for a relaxed structure of UGa3Rh.

Cell lengths 6.4414, 6.4414, 6.4414 Å; angles 90.00, 90.00, 90.00 degrees
Last column: nearest neighbours and their distance in Å.
Sites, in units of the cell vectors:
U 0.0000 0.0000 0.5000  10 Ga 2.94-3.22, 4 Rh 3.22
U 0.0000 0.5000 0.0000  10 Ga 2.94-3.22, 4 Rh 3.22
U 0.5000 0.0000 0.0000  10 Ga 2.94-3.22, 4 Rh 3.22
Ga 0.0000 0.0000 0.0000  8 Ga 3.18, 6 U 3.22
Ga 0.2854 0.2854 0.2854  3 Rh 2.68, 3 Ga 2.76, 3 U 2.94
Ga 0.2854 0.2854 0.7146  3 Rh 2.68, 3 Ga 2.76, 3 U 2.94
Ga 0.2854 0.7146 0.2854  3 Rh 2.68, 3 Ga 2.76, 3 U 2.94
Ga 0.2854 0.7146 0.7146  3 Rh 2.68, 3 Ga 2.76, 3 U 2.94
Ga 0.7146 0.2854 0.2854  3 Rh 2.68, 3 Ga 2.76, 3 U 2.94
Ga 0.7146 0.2854 0.7146  3 Rh 2.68, 3 Ga 2.76, 3 U 2.94
Ga 0.7146 0.7146 0.2854  3 Rh 2.68, 3 Ga 2.76, 3 U 2.94
Ga 0.7146 0.7146 0.7146  3 Rh 2.68, 3 Ga 2.76, 3 U 2.94
Rh 0.0000 0.5000 0.5000  8 Ga 2.68
Rh 0.5000 0.0000 0.5000  8 Ga 2.68
Rh 0.5000 0.5000 0.0000  8 Ga 2.68

- D(E_F) (states/eV per cell) = 25.5
- density (g/cm3) = 10.25
- space-group type = No. 221
- magnetization (μB/atom) = 0.3092

***

Which of them is most stable, and which least? Most stable: version x; least stable: version w.

***

Version w
A plane-wave DFT calculation with PBE was carried out for a relaxed structure of VGaRh3.

Cell lengths 6.5932, 6.5932, 6.8723 Å; angles 90.69, 90.69, 84.85 degrees
Last column: nearest neighbours and their distance in Å.
Sites, in units of the cell vectors:
V 0.1020 0.3135 0.0815  7 Rh 2.45-2.72
V 0.3135 0.1020 0.5815  7 Rh 2.45-2.72
V 0.6865 0.8980 0.4185  7 Rh 2.45-2.72
V 0.8980 0.6865 0.9185  7 Rh 2.45-2.72
Ga 0.1786 0.8214 0.2500  6 Rh 2.43-2.63
Ga 0.3608 0.6392 0.7500  8 Rh 2.45-2.72
Ga 0.6392 0.3608 0.2500  8 Rh 2.45-2.72
Ga 0.8214 0.1786 0.7500  6 Rh 2.43-2.63
Rh 0.0144 0.8073 0.5924  2 V 2.49-2.54, 2 Ga 2.61-2.67, 2 Rh 2.75-2.77
Rh 0.0902 0.4068 0.7369  2 Ga 2.43-2.45, 3 V 2.45-2.61
Rh 0.1927 0.9856 0.9076  2 V 2.49-2.54, 2 Ga 2.61-2.67, 2 Rh 2.75-2.77
Rh 0.2929 0.4629 0.3979  3 Ga 2.54-2.72, 2 V 2.70-2.72, 4 Rh 2.73-2.82
Rh 0.4068 0.0902 0.2369  2 Ga 2.43-2.45, 3 V 2.45-2.61
Rh 0.4629 0.2929 0.8979  3 Ga 2.54-2.72, 2 V 2.70-2.72, 4 Rh 2.73-2.82
Rh 0.5371 0.7071 0.1021  3 Ga 2.54-2.72, 2 V 2.70-2.72, 4 Rh 2.73-2.82
Rh 0.5932 0.9098 0.7631  2 Ga 2.43-2.45, 3 V 2.45-2.61
Rh 0.7071 0.5371 0.6021  3 Ga 2.54-2.72, 2 V 2.70-2.72, 4 Rh 2.73-2.82
Rh 0.8073 0.0144 0.0924  2 V 2.49-2.54, 2 Ga 2.61-2.67, 2 Rh 2.75-2.77
Rh 0.9098 0.5932 0.2631  2 Ga 2.43-2.45, 3 V 2.45-2.61
Rh 0.9856 0.1927 0.4076  2 V 2.49-2.54, 2 Ga 2.61-2.67, 2 Rh 2.75-2.77

- D(E_F) (states/eV per cell) = 14.0
- density (g/cm3) = 9.59
- space-group type = No. 15
- magnetization (μB/atom) = 0.0000

***

Version x
A plane-wave DFT calculation with PBE was carried out for a relaxed structure of VGaRh3.

Cell lengths 4.4861, 4.4861, 4.4861 Å; angles 90.00, 90.00, 90.00 degrees
Last column: nearest neighbours and their distance in Å.
Sites, in units of the cell vectors:
V 0.0000 0.0000 0.0000  12 Rh 3.17
Ga 0.5000 0.5000 0.5000  6 Rh 2.24
Rh 0.0000 0.5000 0.5000  2 Ga 2.24
Rh 0.5000 0.0000 0.5000  2 Ga 2.24
Rh 0.5000 0.5000 0.0000  2 Ga 2.24

- D(E_F) (states/eV per cell) = 9.0
- density (g/cm3) = 7.90
- space-group type = No. 221
- magnetization (μB/atom) = 0.2178

***

Which of them is most stable, and which least? Most stable: version w; least stable: version x.

***

Version w
A plane-wave DFT calculation with PBE was carried out for a relaxed structure of V2GaRh8.

Cell lengths 7.1248, 7.1248, 6.1014 Å; angles 104.59, 104.59, 31.17 degrees
Last column: nearest neighbours and their distance in Å.
Sites, in units of the cell vectors:
V 0.2261 0.2261 0.1593  10 Rh 2.58-2.70
V 0.7739 0.7739 0.8407  10 Rh 2.58-2.70
Ga 0.5000 0.5000 0.5000  12 Rh 2.67-2.82
Rh 0.0432 0.0432 0.2264  1 V 2.65, 2 Ga 2.71, 9 Rh 2.71-2.89
Rh 0.1467 0.1467 0.7048  3 V 2.58-2.70, 6 Rh 2.64-2.75, 2 Ga 2.82
Rh 0.3200 0.3200 0.5920  3 V 2.62, 8 Rh 2.63-2.75, 1 Ga 2.67
Rh 0.4006 0.4006 0.0327  8 Rh 2.63-2.86, 3 V 2.64-2.70, 1 Ga 2.82
Rh 0.5994 0.5994 0.9673  8 Rh 2.63-2.86, 3 V 2.64-2.70, 1 Ga 2.82
Rh 0.6800 0.6800 0.4080  3 V 2.62, 8 Rh 2.63-2.75, 1 Ga 2.67
Rh 0.8533 0.8533 0.2952  3 V 2.58-2.70, 6 Rh 2.64-2.75, 2 Ga 2.82
Rh 0.9568 0.9568 0.7736  1 V 2.65, 2 Ga 2.71, 9 Rh 2.71-2.89

- D(E_F) (states/eV per cell) = 11.6
- density (g/cm3) = 10.68
- space-group type = No. 12
- magnetization (μB/atom) = 0.0000

***

Version x
A plane-wave DFT calculation with PBE was carried out for a relaxed structure of V2GaRh8.

Cell lengths 6.8967, 6.8967, 6.8967 Å; angles 145.78, 119.27, 71.59 degrees
Last column: nearest neighbours and their distance in Å.
Sites, in units of the cell vectors:
V 0.2030 0.2030 0.0000  10 Rh 2.54-2.67
V 0.7970 0.7970 0.0000  10 Rh 2.54-2.67
Ga 0.5000 0.5000 0.0000  8 Rh 2.57-2.68
Rh 0.0536 0.3416 0.7120  3 V 2.54-2.56, 1 Ga 2.68, 3 Rh 2.68-2.70
Rh 0.1818 0.0000 0.1818  7 Rh 2.53-2.72, 2 V 2.60
Rh 0.3586 0.8586 0.5000  2 Ga 2.57, 2 V 2.67, 8 Rh 2.68-2.86
Rh 0.3704 0.6584 0.7120  3 V 2.54-2.56, 1 Ga 2.68, 3 Rh 2.68-2.70
Rh 0.6296 0.3416 0.2880  3 V 2.54-2.56, 1 Ga 2.68, 3 Rh 2.68-2.70
Rh 0.6414 0.1414 0.5000  2 Ga 2.57, 2 V 2.67, 8 Rh 2.68-2.86
Rh 0.8182 0.0000 0.8182  7 Rh 2.53-2.72, 2 V 2.60
Rh 0.9464 0.6584 0.2880  3 V 2.54-2.56, 1 Ga 2.68, 3 Rh 2.68-2.70

- D(E_F) (states/eV per cell) = 11.2
- density (g/cm3) = 10.44
- space-group type = No. 71
- magnetization (μB/atom) = 0.0000

***

Which of them is most stable, and which least? Most stable: version w; least stable: version x.

***

Version w
A plane-wave DFT calculation with PBE was carried out for a relaxed structure of VGa2Rh4.

Cell lengths 7.2396, 7.2396, 7.2396 Å; angles 33.90, 33.90, 33.90 degrees
Last column: nearest neighbours and their distance in Å.
Sites, in units of the cell vectors:
V 0.0000 0.0000 0.0000  8 Rh 2.51-2.57
Ga 0.2459 0.2459 0.2459  8 Rh 2.52-2.62
Ga 0.7541 0.7541 0.7541  8 Rh 2.52-2.62
Rh 0.1228 0.1228 0.1228  1 V 2.51, 4 Ga 2.52-2.54
Rh 0.3734 0.3734 0.3734  3 V 2.57, 4 Ga 2.61-2.62
Rh 0.6266 0.6266 0.6266  3 V 2.57, 4 Ga 2.61-2.62
Rh 0.8772 0.8772 0.8772  1 V 2.51, 4 Ga 2.52-2.54

- D(E_F) (states/eV per cell) = 3.8
- density (g/cm3) = 9.50
- space-group type = No. 166
- magnetization (μB/atom) = 0.0000

***

Version x
A plane-wave DFT calculation with PBE was carried out for a relaxed structure of VGa2Rh4.

Cell lengths 6.9647, 6.9647, 6.9647 Å; angles 142.20, 142.20, 54.53 degrees
Last column: nearest neighbours and their distance in Å.
Sites, in units of the cell vectors:
V 0.0000 0.0000 0.0000  6 Rh 2.24-2.26
Ga 0.3804 0.3804 0.0000  5 Rh 2.47-2.70
Ga 0.6196 0.6196 0.0000  5 Rh 2.47-2.70
Rh 0.0000 0.5000 0.5000  2 V 2.26
Rh 0.1812 0.1812 0.0000  1 V 2.24, 1 Ga 2.47
Rh 0.5000 0.0000 0.5000  2 V 2.26
Rh 0.8188 0.8188 0.0000  1 V 2.24, 1 Ga 2.47

- D(E_F) (states/eV per cell) = 3.3
- density (g/cm3) = 7.93
- space-group type = No. 139
- magnetization (μB/atom) = 0.0000

***

Which of them is most stable, and which least? Most stable: version w; least stable: version x.

***

Version w
A plane-wave DFT calculation with PBE was carried out for a relaxed structure of YGa3Rh.

Cell lengths 4.7298, 4.7298, 4.7298 Å; angles 90.00, 90.00, 90.00 degrees
Last column: nearest neighbours and their distance in Å.
Sites, in units of the cell vectors:
Y 0.0000 0.0000 0.0000  12 Ga 3.34
Ga 0.0000 0.5000 0.5000  2 Rh 2.36
Ga 0.5000 0.0000 0.5000  2 Rh 2.36
Ga 0.5000 0.5000 0.0000  2 Rh 2.36
Rh 0.5000 0.5000 0.5000  6 Ga 2.36

- D(E_F) (states/eV per cell) = 4.0
- density (g/cm3) = 6.29
- space-group type = No. 221
- magnetization (μB/atom) = 0.0000

***

Version x
A plane-wave DFT calculation with PBE was carried out for a relaxed structure of YGa3Rh.

Cell lengths 8.4667, 5.7225, 7.5599 Å; angles 90.00, 96.86, 90.00 degrees
Last column: nearest neighbours and their distance in Å.
Sites, in units of the cell vectors:
Y 0.1297 0.1222 0.1916  1 Rh 2.93, 8 Ga 2.99-3.26
Y 0.1297 0.3778 0.6916  1 Rh 2.93, 8 Ga 2.99-3.26
Y 0.8703 0.6222 0.3084  1 Rh 2.93, 8 Ga 2.99-3.26
Y 0.8703 0.8778 0.8084  1 Rh 2.93, 8 Ga 2.99-3.26
Ga 0.1290 0.6150 0.0601  4 Ga 2.55-2.83
Ga 0.1290 0.8850 0.5601  4 Ga 2.55-2.83
Ga 0.2876 0.6302 0.3682  3 Rh 2.54-2.73, 2 Ga 2.55
Ga 0.2876 0.8698 0.8682  3 Rh 2.54-2.73, 2 Ga 2.55
Ga 0.3921 0.1684 0.5010  4 Rh 2.58-2.75, 2 Ga 2.66-2.83
Ga 0.3921 0.3316 0.0010  4 Rh 2.58-2.75, 2 Ga 2.66-2.83
Ga 0.6079 0.6684 0.9990  4 Rh 2.58-2.75, 2 Ga 2.66-2.83
Ga 0.6079 0.8316 0.4990  4 Rh 2.58-2.75, 2 Ga 2.66-2.83
Ga 0.7124 0.1302 0.1318  3 Rh 2.54-2.73, 2 Ga 2.55
Ga 0.7124 0.3698 0.6318  3 Rh 2.54-2.73, 2 Ga 2.55
Ga 0.8710 0.1150 0.4399  4 Ga 2.55-2.83
Ga 0.8710 0.3850 0.9399  4 Ga 2.55-2.83
Rh 0.4537 0.5585 0.6957  7 Ga 2.54-2.75
Rh 0.4537 0.9415 0.1957  7 Ga 2.54-2.75
Rh 0.5463 0.0585 0.8043  7 Ga 2.54-2.75
Rh 0.5463 0.4415 0.3043  7 Ga 2.54-2.75

- D(E_F) (states/eV per cell) = 11.0
- density (g/cm3) = 7.32
- space-group type = No. 14
- magnetization (μB/atom) = 0.0000

***

Which of them is most stable, and which least? Most stable: version x; least stable: version w.

***

Version w
A plane-wave DFT calculation with PBE was carried out for a relaxed structure of Y2GaRh3.

Cell lengths 5.1424, 5.1424, 5.1424 Å; angles 66.15, 66.15, 66.15 degrees
Last column: nearest neighbours and their distance in Å.
Sites, in units of the cell vectors:
Y 0.1299 0.1299 0.1299  9 Rh 2.93-3.21, 1 Y 3.11, 3 Ga 3.27
Y 0.8701 0.8701 0.8701  9 Rh 2.93-3.21, 1 Y 3.11, 3 Ga 3.27
Ga 0.5000 0.5000 0.5000  6 Rh 2.57
Rh 0.0000 0.5000 0.5000  2 Ga 2.57, 4 Rh 2.81
Rh 0.5000 0.0000 0.5000  2 Ga 2.57, 4 Rh 2.81
Rh 0.5000 0.5000 0.0000  2 Ga 2.57, 4 Rh 2.81

- D(E_F) (states/eV per cell) = 3.4
- density (g/cm3) = 8.48
- space-group type = No. 166
- magnetization (μB/atom) = 0.0000

***

Version x
A plane-wave DFT calculation with PBE was carried out for a relaxed structure of Y2GaRh3.

Cell lengths 6.0331, 6.0331, 6.0331 Å; angles 136.22, 127.38, 70.78 degrees
Last column: nearest neighbours and their distance in Å.
Sites, in units of the cell vectors:
Y 0.1864 0.1864 0.0000  6 Rh 2.72-2.90
Y 0.8136 0.8136 0.0000  6 Rh 2.72-2.90
Ga 0.5000 0.5000 0.0000  6 Rh 2.60-2.67
Rh 0.0000 0.5000 0.5000  2 Ga 2.67, 4 Y 2.90
Rh 0.3669 0.8669 0.5000  2 Ga 2.60, 1 Rh 2.62, 4 Y 2.72-2.87
Rh 0.6331 0.1331 0.5000  2 Ga 2.60, 1 Rh 2.62, 4 Y 2.72-2.87

- D(E_F) (states/eV per cell) = 3.5
- density (g/cm3) = 7.81
- space-group type = No. 71
- magnetization (μB/atom) = 0.0000

***

Which of them is most stable, and which least? Most stable: version w; least stable: version x.